Here is a relaxed CeNp6Se8 crystal from the Alexandria database. Energies are from GGA-PBE.

Unit cell a=11.605 b=11.605 c=11.605 alpha=90.00 beta=90.00 gamma=90.00
Space group Fm-3m (No. 225)
Asymmetric unit:
1 Ce 0.000 0.000 0.000
2 Np 0.000 0.250 0.250
3 Se 0.000 0.000 0.257
4 Se 0.250 0.250 0.250

E_form (uncorrected) = -1.201 eV/atom
N(E_F) = 225.17 states/eV per cell